The following is a DFT calculation (meta-GGA SCAN) of a PBEsol-optimized structure of Re3B.

Summary:
D(E_F) ... 4.47 states/eV per cell
Space group ... No. 63
Raw total energy ... -55.378 eV per atom
Spin magnetization ... 0.00 μB per atom

a b c (Å): 4.8879 4.8879 7.2893
angles (deg): 90.00 90.00 145.64
Element x y z (fractional)
Re (0.0755, 0.9245, 0.7500)
Re (0.3668, 0.6332, 0.5649)
Re (0.3668, 0.6332, 0.9351)
Re (0.6332, 0.3668, 0.0649)
Re (0.6332, 0.3668, 0.4351)
Re (0.9245, 0.0755, 0.2500)
B (0.2453, 0.7547, 0.2500)
B (0.7547, 0.2453, 0.7500)